Density functional theory data (GGA-PBE) for a geometry-optimized ScCoGePt structure.

Unit cell a=4.415 b=4.415 c=4.415 alpha=60.00 beta=60.00 gamma=60.00
Positions (direct):
Co 0.750 0.750 0.750
Ge 0.000 0.000 0.000
Pt 0.250 0.250 0.250
Sc 0.500 0.500 0.500

The value obtained for the total energy is -6.606 eV per atom. The total magnetic moment comes out at 1.624 μB per formula unit. The energy above the most stable polymorph in this dataset comes out at 0.000 eV/atom.